Entry 1:
This record from Alexandria describes crystalline Li2MgIn5Sn at its relaxed geometry. The functional is PBE.

abc: 9.0383 6.8893 6.8893
angles: 90.00 90.00 90.00
Positions (direct):
1 Li 0.5000 0.6301 0.1301
2 Li 0.5000 0.1301 0.3699
3 Li 0.5000 0.8699 0.6301
4 Li 0.5000 0.3699 0.8699
5 Mg 0.0000 0.0000 0.5000
6 Mg 0.0000 0.5000 0.0000
7 In 0.5000 0.5000 0.5000
8 In 0.5000 0.0000 0.0000
9 In 0.2492 0.1970 0.6970
10 In 0.2492 0.8030 0.3030
11 In 0.2492 0.3030 0.1970
12 In 0.2492 0.6970 0.8030
13 In 0.7508 0.1970 0.6970
14 In 0.7508 0.6970 0.8030
15 In 0.7508 0.8030 0.3030
16 In 0.7508 0.3030 0.1970
17 Sn 0.0000 0.5000 0.5000
18 Sn 0.0000 0.0000 0.0000

Summary:
The value obtained for the density of states at the Fermi level is 9.260 states/eV/cell. For the total energy, the calculation gives -2.6134 eV per atom. As for the space group: No. 127. As for the energy of formation: -0.045 eV per atom.

=====

Entry 2:
This record from Alexandria describes crystalline Sr2NiIr at its relaxed geometry. The functional is PBE.

abc: 7.9483 7.9483 6.3924
angles: 51.56 51.56 90.00
Positions (direct):
1 Sr 0.6184 0.1250 0.2500
2 Sr 0.1316 0.6250 0.2500
3 Sr 0.3750 0.3816 0.7500
4 Sr 0.8750 0.8684 0.7500
5 Ir 0.0000 0.0000 0.0000
6 Ir 0.7500 0.2500 0.5000
7 Ni 0.5000 0.5000 0.0000
8 Ni 0.2500 0.7500 0.5000

Summary:
The value obtained for the density of states at the Fermi level is 4.854 states/eV/cell. For the total energy, the calculation gives -4.0632 eV per atom. As for the space group: No. 122. As for the energy of formation: 0.438 eV per atom.

=====

Entry 3:
This record from Alexandria describes crystalline CdAs2Se at its relaxed geometry. The functional is PBE.

abc: 4.9287 4.9287 3.4027
angles: 90.00 90.00 90.00
Positions (direct):
1 As 0.0000 0.0000 0.0000
2 As 0.5000 0.5000 0.0000
3 Se 0.0000 0.5000 0.5000
4 Cd 0.5000 0.0000 0.5000

Summary:
The value obtained for the density of states at the Fermi level is 1.732 states/eV/cell. For the total energy, the calculation gives -3.0741 eV per atom. As for the space group: No. 123. The excess energy over the best structure of this formula in the dataset comes out at 465 meV per atom. For the uncorrected formation energy, the calculation gives 351 meV/atom.

=====

Entry 4:
This record from Alexandria describes crystalline Y2Zn3SiNi12 at its relaxed geometry. The functional is PBE.

abc: 9.0714 9.0714 9.0714
angles: 38.75 38.75 38.75
Positions (direct):
1 Y 0.6516 0.6516 0.6516
2 Y 0.3484 0.3484 0.3484
3 Zn 0.5000 0.0000 0.0000
4 Zn 0.0000 0.5000 0.0000
5 Zn 0.0000 0.0000 0.5000
6 Si 0.0000 0.0000 0.0000
7 Ni 0.4219 0.4219 0.8118
8 Ni 0.9229 0.9229 0.3537
9 Ni 0.3537 0.9229 0.9229
10 Ni 0.8118 0.4219 0.4219
11 Ni 0.9229 0.3537 0.9229
12 Ni 0.4219 0.8118 0.4219
13 Ni 0.5781 0.5781 0.1882
14 Ni 0.0771 0.0771 0.6463
15 Ni 0.6463 0.0771 0.0771
16 Ni 0.1882 0.5781 0.5781
17 Ni 0.0771 0.6463 0.0771
18 Ni 0.5781 0.1882 0.5781

Summary:
The value obtained for the density of states at the Fermi level is 12.580 states/eV/cell. For the total energy, the calculation gives -5.0968 eV per atom. As for the space group: No. 166. For the uncorrected formation energy, the calculation gives -11 meV/atom.

=====

Entry 5:
This record from Alexandria describes crystalline KSr2As at its relaxed geometry. The functional is PBE.

abc: 4.4258 4.4258 9.5885
angles: 90.00 90.00 90.00
Positions (direct):
1 As 0.0000 0.0000 0.3772
2 K 0.5000 0.5000 0.7178
3 Sr 0.0000 0.0000 0.0627
4 Sr 0.5000 0.5000 0.3422

Summary:
The value obtained for the density of states at the Fermi level is 2.671 states/eV/cell. For the total energy, the calculation gives -2.7225 eV per atom. As for the space group: No. 99. As for the energy of formation: -0.445 eV per atom.

=====

Entry 6:
This record from Alexandria describes crystalline La5Hg2Bi at its relaxed geometry. The functional is PBE.

abc: 8.8717 8.8717 9.1732
angles: 118.92 118.92 90.00
Positions (direct):
1 La 0.5082 0.6956 0.7037
2 La 0.8044 0.9918 0.2963
3 La 0.0000 0.0000 0.0000
4 La 0.5000 0.5000 0.0000
5 La 0.1956 0.0082 0.7037
6 La 0.6956 0.1956 0.7037
7 La 0.0082 0.5082 0.7037
8 La 0.3044 0.8044 0.2963
9 La 0.9918 0.4918 0.2963
10 La 0.4918 0.3044 0.2963
11 Hg 0.1384 0.3616 0.0000
12 Hg 0.6384 0.1384 0.0000
13 Hg 0.3616 0.8616 0.0000
14 Hg 0.8616 0.6384 0.0000
15 Bi 0.7500 0.7500 0.5000
16 Bi 0.2500 0.2500 0.5000

Summary:
The value obtained for the density of states at the Fermi level is 17.574 states/eV/cell. For the total energy, the calculation gives -4.1526 eV per atom. As for the space group: No. 140. As for the energy of formation: -0.512 eV per atom.